Record 1
VASP calculation (PBE) on a relaxed structure of ZrIO6.

The structure belongs to space group R-3 (No. 148, hexagonal axes); the cell edges are 5.5828, 5.5828 and 13.6732 Å and the angles 90.00°, 90.00° and 120.00°. The distinct sites, in fractional coordinates, are Zr at (0.0000, 0.0000, 0.0000), I at (0.0000, 0.0000, 0.5000) and O at (0.0181, 0.5054, 0.2452).

The uncorrected energy is -6.159 eV/atom. The calculation puts the formation energy without anion corrections at -1178 meV per atom.

Record 2
VASP calculation (PBE) on a relaxed structure of AcAl2Pt3.

The structure belongs to space group P6/mmm (No. 191); the cell edges are 5.7249, 5.7249 and 4.0175 Å and the angles 90.00°, 90.00° and 120.00°. The distinct sites, in fractional coordinates, are Ac at (0.0000, 0.0000, 0.0000), Al at (0.3333, 0.6667, 0.0000) and Pt at (0.0000, 0.5000, 0.5000).

For the energy above the most stable polymorph in this dataset, the calculation gives 5.8 meV per atom. The uncorrected energy is -6.045 eV/atom. The energy of formation comes out at -1093 meV/atom.

Computed total magnetic moment (μB/cell) in order:
2.48; 0.00
Computed density (g cm⁻³) in order:
4.2; 12.6